1.
# DyHo4Bi5 | Alexandria | PBE | relaxed
# E_form (eV per atom): -0.84
# SG: No. 139
# Magnetization (μB per formula unit): 0.00
# Crystal system: tetragonal
data_DyHo4Bi5
_chemical_formula_sum 'Dy1 Ho4 Bi5'
_space_group_name_H-M_alt 'P 1'
_space_group_IT_number 1
_cell_length_a 4.460
_cell_length_b 4.460
_cell_length_c 16.078
_cell_angle_alpha 97.97
_cell_angle_beta 97.97
_cell_angle_gamma 90.00
loop_
_space_group_symop_operation_xyz
'x,y,z'
loop_
_atom_site_label
_atom_site_fract_x
_atom_site_fract_y
_atom_site_fract_z
Ho1 0.800 0.800 0.600
Ho2 0.600 0.600 0.200
Ho3 0.200 0.200 0.400
Ho4 0.400 0.400 0.800
Bi1 0.300 0.300 0.600
Bi2 0.900 0.900 0.800
Bi3 0.500 0.500 0.000
Bi4 0.100 0.100 0.200
Bi5 0.700 0.700 0.400
Dy1 0.000 0.000 0.000

2.
# Dy3Ho2Bi3 | Alexandria | PBE | relaxed
# E_form (eV per atom): -0.68
# SG: No. 193
# Magnetization (μB per formula unit): 0.01
# Crystal system: hexagonal
data_Dy3Ho2Bi3
_chemical_formula_sum 'Dy6 Ho4 Bi6'
_space_group_name_H-M_alt 'P 1'
_space_group_IT_number 1
_cell_length_a 6.368
_cell_length_b 9.157
_cell_length_c 9.157
_cell_angle_alpha 120.00
_cell_angle_beta 90.00
_cell_angle_gamma 90.00
loop_
_space_group_symop_operation_xyz
'x,y,z'
loop_
_atom_site_label
_atom_site_fract_x
_atom_site_fract_y
_atom_site_fract_z
Dy1 0.250 0.756 0.000
Dy2 0.750 0.244 0.000
Dy3 0.250 0.244 0.244
Dy4 0.750 0.756 0.756
Dy5 0.750 0.000 0.244
Dy6 0.250 0.000 0.756
Bi1 0.750 0.000 0.610
Bi2 0.250 0.610 0.610
Bi3 0.250 0.000 0.390
Bi4 0.250 0.390 0.000
Bi5 0.750 0.610 0.000
Bi6 0.750 0.390 0.390
Ho1 0.500 0.333 0.667
Ho2 0.000 0.333 0.667
Ho3 0.500 0.667 0.333
Ho4 0.000 0.667 0.333

3.
# DyHo3Bi3 | Alexandria | PBE | relaxed
# E_form (eV per atom): -0.63
# SG: No. 148
# Magnetization (μB per formula unit): 0.00
# E above lowest polymorph (kJ/mol of atoms): 6.9
# Crystal system: trigonal
data_DyHo3Bi3
_chemical_formula_sum 'Dy2 Ho6 Bi6'
_space_group_name_H-M_alt 'P 1'
_space_group_IT_number 1
_cell_length_a 9.062
_cell_length_b 9.062
_cell_length_c 8.161
_cell_angle_alpha 56.28
_cell_angle_beta 56.28
_cell_angle_gamma 60.00
loop_
_space_group_symop_operation_xyz
'x,y,z'
loop_
_atom_site_label
_atom_site_fract_x
_atom_site_fract_y
_atom_site_fract_z
Ho1 0.827 0.082 0.756
Ho2 0.918 0.665 0.244
Ho3 0.665 0.173 0.244
Ho4 0.335 0.827 0.756
Ho5 0.173 0.918 0.244
Ho6 0.082 0.335 0.756
Bi1 0.695 0.477 0.745
Bi2 0.477 0.083 0.745
Bi3 0.305 0.523 0.255
Bi4 0.917 0.305 0.255
Bi5 0.083 0.695 0.745
Bi6 0.523 0.917 0.255
Dy1 0.666 0.666 0.001
Dy2 0.334 0.334 0.999

4.
# Dy3HoBi2 | Alexandria | PBE | relaxed
# E_form (eV per atom): -0.59
# SG: No. 115
# Magnetization (μB per formula unit): 0.00
# E above lowest polymorph (kJ/mol of atoms): 0.0
# Crystal system: tetragonal
data_Dy3HoBi2
_chemical_formula_sum 'Dy3 Ho1 Bi2'
_space_group_name_H-M_alt 'P 1'
_space_group_IT_number 1
_cell_length_a 4.545
_cell_length_b 4.545
_cell_length_c 8.605
_cell_angle_alpha 90.00
_cell_angle_beta 90.00
_cell_angle_gamma 90.00
loop_
_space_group_symop_operation_xyz
'x,y,z'
loop_
_atom_site_label
_atom_site_fract_x
_atom_site_fract_y
_atom_site_fract_z
Ho1 0.500 0.500 0.000
Bi1 0.000 0.500 0.284
Bi2 0.500 0.000 0.716
Dy1 0.000 0.000 0.000
Dy2 0.000 0.500 0.654
Dy3 0.500 0.000 0.346

5.
# Dy2HoBi | Alexandria | PBE | relaxed
# E_form (eV per atom): -0.40
# SG: No. 11
# Magnetization (μB per formula unit): 0.00
# E above lowest polymorph (kJ/mol of atoms): 0.0
# Crystal system: monoclinic
data_Dy2HoBi
_chemical_formula_sum 'Dy4 Ho2 Bi2'
_space_group_name_H-M_alt 'P 1'
_space_group_IT_number 1
_cell_length_a 4.630
_cell_length_b 4.587
_cell_length_c 11.563
_cell_angle_alpha 90.00
_cell_angle_beta 101.56
_cell_angle_gamma 90.00
loop_
_space_group_symop_operation_xyz
'x,y,z'
loop_
_atom_site_label
_atom_site_fract_x
_atom_site_fract_y
_atom_site_fract_z
Bi1 0.829 0.750 0.660
Bi2 0.171 0.250 0.340
Ho1 0.309 0.250 0.618
Ho2 0.691 0.750 0.382
Dy1 0.941 0.250 0.881
Dy2 0.561 0.250 0.123
Dy3 0.059 0.750 0.119
Dy4 0.439 0.750 0.877

6.
# DyHo2Bi3 | Alexandria | PBE | relaxed
# E_form (eV per atom): -0.84
# SG: No. 71
# Magnetization (μB per formula unit): 0.00
# Crystal system: orthorhombic
data_DyHo2Bi3
_chemical_formula_sum 'Dy1 Ho2 Bi3'
_space_group_name_H-M_alt 'P 1'
_space_group_IT_number 1
_cell_length_a 4.463
_cell_length_b 6.307
_cell_length_c 7.730
_cell_angle_alpha 114.08
_cell_angle_beta 106.78
_cell_angle_gamma 90.00
loop_
_space_group_symop_operation_xyz
'x,y,z'
loop_
_atom_site_label
_atom_site_fract_x
_atom_site_fract_y
_atom_site_fract_z
Dy1 0.500 0.500 0.500
Bi1 0.167 0.667 0.834
Bi2 0.500 0.000 0.500
Bi3 0.833 0.333 0.166
Ho1 0.833 0.833 0.167
Ho2 0.167 0.167 0.833

> Look up the magnetization of the third one.

0.00 μB per formula unit